Record 1
Below is an optimized crystal structure of TlRhSe2, with properties calculated at the PBE level.

Lattice parameters (Å, degrees): 6.710 6.710 5.499 103.74 103.74 109.05
Element x y z (fractional)
Tl 0.124 0.876 0.750
Tl 0.876 0.124 0.250
Rh 0.496 0.504 0.750
Rh 0.504 0.496 0.250
Se 0.174 0.427 0.893
Se 0.427 0.174 0.393
Se 0.573 0.826 0.607
Se 0.826 0.573 0.107

Results
E_form (uncorrected) (eV per atom): -0.270
D(E_F) (states/eV per atom): 0.155

---

Record 2
Below is an optimized crystal structure of TlRhSe2, with properties calculated at the PBE level.

Lattice parameters (Å, degrees): 12.448 12.448 4.927 90.00 90.00 166.04
Element x y z (fractional)
Tl 0.197 0.803 0.750
Tl 0.803 0.197 0.250
Rh 0.464 0.536 0.750
Rh 0.536 0.464 0.250
Se 0.360 0.640 0.750
Se 0.440 0.560 0.250
Se 0.560 0.440 0.750
Se 0.640 0.360 0.250

Results
E_form (uncorrected) (eV per atom): -0.115
D(E_F) (states/eV per atom): 0.388